1.
DFT (GGA-PBE) results for BaGeAu4 after structural relaxation.

## Properties
Offset from the most stable computed form ... 176 meV/atom
Space group ... C2/m, No. 12
Uncorrected energy ... -20.8 eV for the cell shown
Total magnetic moment ... 0.0 μB/cell
Formation energy ... -0.199 eV per atom

a b c (Å): 4.8757 4.8757 7.5477
angles (deg): 89.90 89.85 90.02
With the nearest neighbours (Å) after each atom.
Fractional positions:
Ba 0.5000 0.0000 0.0000  8 Au 3.68-3.69
Ge 0.0000 0.5000 0.5000  6 Au 2.44-2.47
Au 0.0003 0.4999 0.1725  1 Ge 2.47, 1 Au 2.60
Au 0.9997 0.5001 0.8275  1 Ge 2.47, 1 Au 2.60
Au 0.0000 0.0000 0.5000  2 Ge 2.44
Au 0.5000 0.5000 0.5000  2 Ge 2.44



2.
DFT (GGA-PBE) results for Ba3Ge3Au2 after structural relaxation.

## Properties
Space group ... Cmcm, No. 63
Uncorrected energy ... -62.1 eV for the cell shown
Total magnetic moment ... 0.0 μB/cell
Formation energy ... -0.611 eV per atom

a b c (Å): 4.6608 6.5447 16.8838
angles (deg): 90.00 90.00 110.86
With the nearest neighbours (Å) after each atom.
Fractional positions:
Ba 0.8493 0.6986 0.4030  7 Ge 3.42-3.74, 4 Au 3.49-3.63
Ba 0.1507 0.3014 0.9030  7 Ge 3.42-3.74, 4 Au 3.49-3.63
Ba 0.8493 0.6986 0.0970  7 Ge 3.42-3.74, 4 Au 3.49-3.63
Ba 0.1507 0.3014 0.5970  7 Ge 3.42-3.74, 4 Au 3.49-3.63
Ba 0.5580 0.1159 0.2500  4 Au 3.38, 5 Ge 3.44-3.58
Ba 0.4420 0.8841 0.7500  4 Au 3.38, 5 Ge 3.44-3.58
Ge 0.5781 0.1561 0.4530  1 Ge 2.48, 2 Au 2.72
Ge 0.4219 0.8439 0.9530  1 Ge 2.48, 2 Au 2.72
Ge 0.5781 0.1561 0.0470  1 Ge 2.48, 2 Au 2.72
Ge 0.4219 0.8439 0.5470  1 Ge 2.48, 2 Au 2.72
Ge 0.2650 0.5301 0.2500  2 Au 2.72
Ge 0.7350 0.4699 0.7500  2 Au 2.72
Au 0.8614 0.7228 0.8823  3 Ge 2.72
Au 0.1386 0.2772 0.3823  3 Ge 2.72
Au 0.8614 0.7228 0.6177  3 Ge 2.72
Au 0.1386 0.2772 0.1177  3 Ge 2.72



3.
DFT (GGA-PBE) results for Ba3Ge8Au3 after structural relaxation.

## Properties
Space group ... C2/m, No. 12
Uncorrected energy ... -57.6 eV for the cell shown
Total magnetic moment ... 0.0 μB/cell
Formation energy ... -0.364 eV per atom

a b c (Å): 4.3960 9.0926 10.6341
angles (deg): 59.95 78.07 76.01
With the nearest neighbours (Å) after each atom.
Fractional positions:
Ba 0.2918 0.7381 0.6783  9 Ge 3.35-3.72, 2 Au 3.57
Ba 0.7082 0.2619 0.3217  9 Ge 3.35-3.72, 2 Au 3.57
Ba 0.0000 0.0000 0.0000  8 Ge 3.42-3.78, 4 Au 3.51
Ge 0.1189 0.1710 0.5912  1 Au 2.59, 2 Ge 2.63
Ge 0.8811 0.8290 0.4088  1 Au 2.59, 2 Ge 2.63
Ge 0.8206 0.4410 0.9179  3 Au 2.60-2.66
Ge 0.1794 0.5590 0.0821  3 Au 2.60-2.66
Ge 0.5205 0.6577 0.3013  1 Ge 2.59, 2 Au 2.88
Ge 0.4795 0.3423 0.6987  1 Ge 2.59, 2 Au 2.88
Ge 0.3834 0.9705 0.2627  3 Ge 2.59-2.63, 1 Au 2.60
Ge 0.6166 0.0295 0.7373  3 Ge 2.59-2.63, 1 Au 2.60
Au 0.0000 0.5000 0.5000  6 Ge 2.59-2.88
Au 0.6628 0.7186 0.9559  4 Ge 2.60-2.66
Au 0.3372 0.2814 0.0441  4 Ge 2.60-2.66



4.
DFT (GGA-PBE) results for Ba12Ge3Au5 after structural relaxation.

## Properties
Space group ... Ia-3d, No. 230
Uncorrected energy ... -244.3 eV for the cell shown
Total magnetic moment ... 0.0 μB/cell
Formation energy ... -0.388 eV per atom

a b c (Å): 16.8699 16.8699 16.8699
angles (deg): 109.47 109.47 109.47
With the nearest neighbours (Å) after each atom.
Fractional positions:
Ge 0.7500 0.3750 0.1250  8 Ba 3.53-3.70
Ge 0.8750 0.7500 0.1250  8 Ba 3.53-3.70
Ge 0.3750 0.7500 0.6250  8 Ba 3.53-3.70
Ge 0.2500 0.1250 0.3750  8 Ba 3.53-3.70
Ge 0.8750 0.1250 0.2500  8 Ba 3.53-3.70
Ge 0.3750 0.6250 0.2500  8 Ba 3.53-3.70
Ge 0.6250 0.3750 0.7500  8 Ba 3.53-3.70
Ge 0.1250 0.8750 0.7500  8 Ba 3.53-3.70
Ge 0.7500 0.8750 0.6250  8 Ba 3.53-3.70
Ge 0.6250 0.2500 0.3750  8 Ba 3.53-3.70
Ge 0.1250 0.2500 0.8750  8 Ba 3.53-3.70
Ge 0.2500 0.6250 0.8750  8 Ba 3.53-3.70
Au 0.1250 0.3750 0.2500  4 Ba 3.11
Au 0.0000 0.5000 0.0000  6 Ba 3.31
Au 0.0000 0.0000 0.0000  6 Ba 3.31
Au 0.3750 0.2500 0.1250  4 Ba 3.11
Au 0.5000 0.0000 0.5000  6 Ba 3.31
Au 0.5000 0.5000 0.0000  6 Ba 3.31
Au 0.1250 0.7500 0.3750  4 Ba 3.11
Au 0.7500 0.1250 0.8750  4 Ba 3.11
Au 0.7500 0.6250 0.3750  4 Ba 3.11
Au 0.3750 0.1250 0.7500  4 Ba 3.11
Au 0.6250 0.8750 0.2500  4 Ba 3.11
Au 0.5000 0.5000 0.5000  6 Ba 3.31
Au 0.5000 0.0000 0.0000  6 Ba 3.31
Au 0.0000 0.0000 0.5000  6 Ba 3.31
Au 0.2500 0.3750 0.6250  4 Ba 3.11
Au 0.2500 0.8750 0.1250  4 Ba 3.11
Au 0.0000 0.5000 0.5000  6 Ba 3.31
Au 0.8750 0.2500 0.6250  4 Ba 3.11
Au 0.6250 0.7500 0.8750  4 Ba 3.11
Au 0.8750 0.6250 0.7500  4 Ba 3.11
Ba 0.7241 0.1311 0.0508  2 Au 3.11-3.31
Ba 0.3267 0.5508 0.4197  2 Au 3.11-3.31
Ba 0.9492 0.3689 0.2759  2 Au 3.11-3.31
Ba 0.5508 0.2241 0.1311  2 Au 3.11-3.31
Ba 0.5931 0.7241 0.6733  2 Au 3.11-3.31
Ba 0.9492 0.5803 0.1733  2 Au 3.11-3.31
Ba 0.3267 0.7759 0.4069  2 Au 3.11-3.31
Ba 0.0803 0.9069 0.1311  2 Au 3.11-3.31
Ba 0.5803 0.9492 0.6733  2 Au 3.11-3.31
Ba 0.7241 0.5931 0.1733  2 Au 3.11-3.31
Ba 0.7759 0.4492 0.3689  2 Au 3.11-3.31
Ba 0.8267 0.9197 0.0508  2 Au 3.11-3.31
Ba 0.1311 0.7241 0.5508  2 Au 3.11-3.31
Ba 0.3689 0.4197 0.0931  2 Au 3.11-3.31
Ba 0.0931 0.9197 0.3689  2 Au 3.11-3.31
Ba 0.4069 0.1311 0.5803  2 Au 3.11-3.31
Ba 0.0931 0.1733 0.2241  2 Au 3.11-3.31
Ba 0.4492 0.6733 0.0803  2 Au 3.11-3.31
Ba 0.8267 0.9069 0.2759  2 Au 3.11-3.31
Ba 0.1311 0.4069 0.0803  2 Au 3.11-3.31
Ba 0.3689 0.9492 0.7759  2 Au 3.11-3.31
Ba 0.5803 0.6311 0.4069  2 Au 3.11-3.31
Ba 0.9197 0.8267 0.5508  2 Au 3.11-3.31
Ba 0.7759 0.3267 0.9069  2 Au 3.11-3.31
Ba 0.4197 0.3689 0.5931  2 Au 3.11-3.31
Ba 0.0803 0.1733 0.4492  2 Au 3.11-3.31
Ba 0.2241 0.6733 0.0931  2 Au 3.11-3.31
Ba 0.1733 0.0931 0.7241  2 Au 3.11-3.31
Ba 0.6311 0.0508 0.2241  2 Au 3.11-3.31
Ba 0.8689 0.5931 0.9197  2 Au 3.11-3.31
Ba 0.5508 0.3267 0.9197  2 Au 3.11-3.31
Ba 0.5931 0.8689 0.4197  2 Au 3.11-3.31
Ba 0.9069 0.8267 0.7759  2 Au 3.11-3.31
Ba 0.9069 0.0803 0.6311  2 Au 3.11-3.31
Ba 0.8689 0.2759 0.4492  2 Au 3.11-3.31
Ba 0.1733 0.0803 0.9492  2 Au 3.11-3.31
Ba 0.6311 0.5803 0.9069  2 Au 3.11-3.31
Ba 0.4197 0.0508 0.3267  2 Au 3.11-3.31
Ba 0.2759 0.4069 0.8267  2 Au 3.11-3.31
Ba 0.2241 0.5508 0.6311  2 Au 3.11-3.31
Ba 0.9197 0.0931 0.8689  2 Au 3.11-3.31
Ba 0.6733 0.2241 0.5931  2 Au 3.11-3.31
Ba 0.4492 0.7759 0.8689  2 Au 3.11-3.31
Ba 0.0508 0.4197 0.8267  2 Au 3.11-3.31
Ba 0.4069 0.2759 0.3267  2 Au 3.11-3.31
Ba 0.0508 0.6311 0.7241  2 Au 3.11-3.31
Ba 0.6733 0.4492 0.5803  2 Au 3.11-3.31
Ba 0.2759 0.8689 0.9492  2 Au 3.11-3.31